Record 1
An optimized crystal structure of K2CaAsSe4, computed with PBE-GGA.

Energy = -3.74 eV per atom
Formation energy (no corrections) = -889 meV per atom

a b c (Å): 8.681 8.681 9.249
angles (deg): 122.19 122.19 90.13
Last column: magnetic moment on the atom in μB.
Positions (direct):
1 K 0.500 0.000 0.000  0.00
2 K 0.500 0.000 0.500  0.00
3 K 0.000 0.000 0.500  0.00
4 K 0.500 0.500 0.000  0.00
5 Ca 0.000 0.500 0.000  0.00
6 Ca 0.000 0.500 0.500  0.00
7 As 0.500 0.500 0.500  0.00
8 As 0.000 0.000 0.000  0.00
9 Se 0.201 0.749 0.975  -0.13
10 Se 0.751 0.299 0.525  -0.13
11 Se 0.249 0.701 0.475  0.13
12 Se 0.799 0.251 0.025  0.13
13 Se 0.758 0.742 0.953  -0.01
14 Se 0.758 0.742 0.547  -0.01
15 Se 0.242 0.258 0.453  0.01
16 Se 0.242 0.258 0.047  0.01

Record 2
An optimized crystal structure of AcGa4Co2, computed with PBE-GGA.

Energy = -4.64 eV per atom

a b c (Å): 4.861 7.059 5.552
angles (deg): 66.83 55.18 94.07
Positions (direct):
1 Ac 0.000 0.000 0.000
2 Co 0.500 0.500 0.749
3 Co 0.500 0.500 0.251
4 Ga 0.650 0.823 0.763
5 Ga 0.350 0.177 0.237
6 Ga 0.930 0.421 0.324
7 Ga 0.070 0.579 0.676

Record 3
An optimized crystal structure of Ti4Nb4In3, computed with PBE-GGA.

Energy = -7.26 eV per atom

a b c (Å): 2.905 4.704 15.327
angles (deg): 81.18 84.93 90.01
Last column: magnetic moment on the atom in μB.
Positions (direct):
1 Ti 0.487 0.545 0.910  0.61
2 Ti 0.513 0.455 0.090  0.61
3 Ti 0.081 0.814 0.371  0.03
4 Ti 0.919 0.186 0.629  0.03
5 Nb 0.693 0.094 0.813  -0.02
6 Nb 0.381 0.269 0.461  0.01
7 Nb 0.619 0.731 0.539  0.01
8 Nb 0.307 0.906 0.187  -0.02
9 In 0.218 0.636 0.728  0.00
10 In 0.782 0.364 0.272  0.00
11 In 0.000 0.000 0.000  -0.02

Record 4
An optimized crystal structure of CsSrP, computed with PBE-GGA.

Energy = -3.13 eV per atom

a b c (Å): 15.580 5.716 8.800
angles (deg): 71.05 27.72 90.00
Positions (direct):
1 Cs 0.913 0.635 0.730
2 Cs 0.357 0.635 0.730
3 Sr 0.817 0.317 0.365
4 Sr 0.360 0.360 0.280
5 P 0.791 0.864 0.272
6 P 0.937 0.864 0.272

Record 5
An optimized crystal structure of Ba2SbTeRh, computed with PBE-GGA.

Energy = -4.57 eV per atom
Formation energy (no corrections) = -877 meV per atom

a b c (Å): 6.187 6.187 4.909
angles (deg): 90.00 90.00 90.00
Positions (direct):
1 Sb 0.000 0.000 0.500
2 Te 0.500 0.500 0.500
3 Rh 0.000 0.000 0.000
4 Ba 0.000 0.500 0.000
5 Ba 0.500 0.000 0.000

Record 6
An optimized crystal structure of NbGeSb, computed with PBE-GGA.

Energy = -6.49 eV per atom
Formation energy (no corrections) = -217 meV per atom

a b c (Å): 3.546 3.546 9.055
angles (deg): 90.00 90.00 90.00
Positions (direct):
1 Nb 0.000 0.000 0.342
2 Nb 0.500 0.500 0.842
3 Ge 0.000 0.000 0.985
4 Ge 0.500 0.500 0.485
5 Sb 0.000 0.000 0.669
6 Sb 0.500 0.500 0.169

> What is the formula in the first record?

K2CaAsSe4